Record 1
Cs3NaCd8 | GGA-PBE | relaxed

As for the total magnetization: 0.00 μB/atom. The calculation puts the final energy at -11.5 eV/f.u. The value obtained for the formation energy is -0.023 eV per atom.

The space group is R3m (No. 160, hexagonal axes) and the conventional cell measures 6.5209, 6.5209 and 33.5411 Å, with angles of 90.00, 90.00 and 120.00 degrees. The inequivalent atoms are Cs at (0.0000, 0.0000, 0.0000), Cs at (0.0000, 0.0000, 0.1265), Cs at (0.0000, 0.0000, 0.5029), Na at (0.0000, 0.0000, 0.6242), Cd at (0.0000, 0.0000, 0.3122), Cd at (0.0000, 0.0000, 0.8092), Cd at (0.0012, 0.5006, 0.5682) and Cd at (0.1704, 0.3408, 0.3926).

Record 2
SnPdAu | GGA-PBE | relaxed

The energy above the most stable polymorph in this dataset comes out at 34 meV per atom. As for the total magnetization: 0.00 μB/atom. The calculation puts the final energy at -13.2 eV/f.u. The value obtained for the formation energy is -0.249 eV per atom.

The space group is F-43m (No. 216) and the conventional cell measures 6.332, 6.332 and 6.332 Å, with angles of 90.00, 90.00 and 90.00 degrees. The inequivalent atoms are Sn at (0.000, 0.000, 0.000), Pd at (0.250, 0.250, 0.750) and Au at (0.000, 0.000, 0.500).

Record 3
HPtS | GGA-PBE | relaxed

The energy above the most stable polymorph in this dataset comes out at 64 meV per atom. As for the total magnetization: 0.00 μB/atom. The calculation puts the final energy at -13.2 eV/f.u.

The space group is Amm2 (No. 38) and the conventional cell measures 3.497, 4.125 and 6.742 Å, with angles of 90.00, 90.00 and 90.00 degrees. The inequivalent atoms are H at (0.000, 0.000, 0.000), Pt at (0.500, 0.000, 0.004) and S at (0.500, 0.000, 0.347).